A geometry-optimized LaDy7Ho4 structure. Source: Alexandria via LeMat-Bulk, functional PBE.

```
LaDy7Ho4
1.0
6.366 -1.864 2.723
0.728 5.741 2.230
2.791 -2.306 10.786
Ho Dy La
4 7 1
direct
0.412 0.721 0.336
0.166 0.221 0.335
0.834 0.779 0.665
0.588 0.279 0.664
0.335 0.777 0.664
0.748 0.500 0.000
0.084 0.279 0.664
0.252 0.500 0.000
0.665 0.223 0.336
0.500 0.000 0.000
0.916 0.721 0.336
0.000 0.000 0.000
```

ΔH_f (0 K)   1 meV per atom
DOS at the Fermi energy   16.280 states/eV per cell
E above lowest polymorph   0.000 eV/atom
Magnetization   0.000 μB per atom